DFT (PBE) results for an optimized crystal structure of AlNiRu.

Geometry as POSCAR:
```
AlNiRu
1.0
-0.348 -1.823 3.614
3.170 -0.101 2.538
-0.048 2.223 3.400
Ru Ni Al
1 1 1
direct
0.750 0.750 0.750 Ru
0.500 0.500 0.500 Ni
0.000 0.000 0.000 Al
```

Values from the calculation:
total magnetic moment = 1.462 μB per formula unit
ΔH_f (0 K) = 0.19 eV per atom
Fermi-level density of states = 4.51 states/eV/cell

---

DFT (PBE) results for an optimized crystal structure of LiDyS2O8.

Geometry as POSCAR:
```
LiDyS2O8
1.0
-1.671 4.327 -2.701
-3.486 -2.854 2.919
1.306 3.794 5.270
S O Li Dy
2 8 1 1
direct
0.667 0.333 0.198 S
0.333 0.667 0.802 S
0.183 0.365 0.720 O
0.818 0.183 0.280 O
0.182 0.817 0.720 O
0.635 0.818 0.720 O
0.667 0.333 0.980 O
0.365 0.182 0.280 O
0.333 0.667 0.020 O
0.817 0.635 0.280 O
0.000 0.000 0.000 Li
0.000 0.000 0.500 Dy
```

Values from the calculation:
relative energy among the computed polymorphs = 0.000 eV per atom
total magnetic moment = 0.000 μB per formula unit
Fermi-level density of states = 0.00 states/eV/cell